Entry 1:
! AcLa2Mg2 (GGA-PBE, relaxed); values from VASP
&SYSTEM
  ibrav = 0, nat = 5, ntyp = 3
/
ATOMIC_SPECIES
Ac 227.00 Ac.upf
La 138.91 La.upf
Mg 24.30 Mg.upf
CELL_PARAMETERS angstrom
2.033 -10.597 0.000
2.033 10.597 0.000
0.000 0.000 3.955
ATOMIC_POSITIONS crystal
Ac 0.000 0.000 0.000
La 0.187 0.813 0.000
La 0.813 0.187 0.000
Mg 0.401 0.599 0.500
Mg 0.599 0.401 0.500
! - ΔE_f: 18 meV per atom
! - Calculated total energy: -3.41 eV per atom
! - Total magnetic moment: 0.00 μB per cell


Entry 2:
! AcLa2Mg (GGA-PBE, relaxed); values from VASP
&SYSTEM
  ibrav = 0, nat = 4, ntyp = 3
/
ATOMIC_SPECIES
Ac 227.00 Ac.upf
La 138.91 La.upf
Mg 24.30 Mg.upf
CELL_PARAMETERS angstrom
1.897 1.095 11.835
-1.897 1.095 11.835
0.000 -2.190 11.835
ATOMIC_POSITIONS crystal
Ac 0.000 0.000 0.000
La 0.577 0.577 0.577
La 0.758 0.758 0.758
Mg 0.167 0.167 0.167
! - ΔE_f: 54 meV per atom
! - Calculated total energy: -3.84 eV per atom
! - Total magnetic moment: 0.00 μB per cell
! - E above lowest polymorph: 104 meV per atom


Entry 3:
! AcLa2Mg (GGA-PBE, relaxed); values from VASP
&SYSTEM
  ibrav = 0, nat = 4, ntyp = 3
/
ATOMIC_SPECIES
Ac 227.00 Ac.upf
La 138.91 La.upf
Mg 24.30 Mg.upf
CELL_PARAMETERS angstrom
5.189 0.000 0.000
0.000 5.189 0.000
0.000 0.000 5.284
ATOMIC_POSITIONS crystal
Ac 0.000 0.000 0.000
La 0.000 0.500 0.500
La 0.500 0.000 0.500
Mg 0.500 0.500 0.000
! - ΔE_f: 2 meV per atom
! - Calculated total energy: -3.89 eV per atom
! - Total magnetic moment: 0.00 μB per cell
! - E above lowest polymorph: 53 meV per atom


Entry 4:
! AcLa4Mg (GGA-PBE, relaxed); values from VASP
&SYSTEM
  ibrav = 0, nat = 6, ntyp = 3
/
ATOMIC_SPECIES
Ac 227.00 Ac.upf
La 138.91 La.upf
Mg 24.30 Mg.upf
CELL_PARAMETERS angstrom
3.850 0.000 0.000
0.000 3.850 0.000
0.000 0.000 14.726
ATOMIC_POSITIONS crystal
Ac 0.000 0.000 0.000
La 0.000 0.000 0.357
La 0.000 0.000 0.643
La 0.500 0.500 0.188
La 0.500 0.500 0.812
Mg 0.500 0.500 0.500
! - ΔE_f: -27 meV per atom
! - Calculated total energy: -4.26 eV per atom
! - Total magnetic moment: 0.00 μB per cell
! - E above lowest polymorph: 0 meV per atom


Entry 5:
! AcLaMg2 (GGA-PBE, relaxed); values from VASP
&SYSTEM
  ibrav = 0, nat = 4, ntyp = 3
/
ATOMIC_SPECIES
Ac 227.00 Ac.upf
La 138.91 La.upf
Mg 24.30 Mg.upf
CELL_PARAMETERS angstrom
0.000 4.038 4.044
4.036 0.000 4.044
4.036 4.038 0.000
ATOMIC_POSITIONS crystal
Ac 0.000 0.000 0.000
La 0.500 0.500 0.500
Mg 0.250 0.250 0.250
Mg 0.750 0.750 0.750
! - ΔE_f: -97 meV per atom
! - Calculated total energy: -3.15 eV per atom
! - Total magnetic moment: 0.00 μB per cell


Entry 6:
! Ac14LaMg (GGA-PBE, relaxed); values from VASP
&SYSTEM
  ibrav = 0, nat = 16, ntyp = 3
/
ATOMIC_SPECIES
Ac 227.00 Ac.upf
La 138.91 La.upf
Mg 24.30 Mg.upf
CELL_PARAMETERS angstrom
11.196 0.000 0.000
0.000 5.558 5.558
0.000 -5.558 5.558
ATOMIC_POSITIONS crystal
Ac 0.000 0.000 0.000
Ac 0.000 0.000 0.500
Ac 0.000 0.500 0.000
Ac 0.000 0.500 0.500
Ac 0.256 0.249 0.249
Ac 0.256 0.249 0.751
Ac 0.256 0.751 0.249
Ac 0.256 0.751 0.751
Ac 0.500 0.000 0.500
Ac 0.500 0.500 0.000
Ac 0.744 0.249 0.249
Ac 0.744 0.249 0.751
Ac 0.744 0.751 0.249
Ac 0.744 0.751 0.751
La 0.500 0.500 0.500
Mg 0.500 0.000 0.000
! - ΔE_f: 11 meV per atom
! - Calculated total energy: -3.99 eV per atom
! - Total magnetic moment: 0.00 μB per cell


Entry 7:
! AcLa2NdMg (GGA-PBE, relaxed); values from VASP
&SYSTEM
  ibrav = 0, nat = 10, ntyp = 4
/
ATOMIC_SPECIES
Ac 227.00 Ac.upf
La 138.91 La.upf
Nd 144.24 Nd.upf
Mg 24.30 Mg.upf
CELL_PARAMETERS angstrom
4.174 -6.068 0.000
4.174 6.068 0.000
0.000 0.000 7.516
ATOMIC_POSITIONS crystal
Ac 0.240 0.760 0.750
Ac 0.760 0.240 0.250
La 0.302 0.302 0.000
La 0.302 0.302 0.500
La 0.698 0.698 0.000
La 0.698 0.698 0.500
Nd 0.071 0.929 0.250
Nd 0.929 0.071 0.750
Mg 0.320 0.680 0.250
Mg 0.680 0.320 0.750
! - ΔE_f: 229 meV per atom
! - Calculated total energy: -3.84 eV per atom
! - Total magnetic moment: 0.00 μB per cell


Entry 8:
! Ac2La4NdMg (GGA-PBE, relaxed); values from VASP
&SYSTEM
  ibrav = 0, nat = 8, ntyp = 4
/
ATOMIC_SPECIES
Ac 227.00 Ac.upf
La 138.91 La.upf
Nd 144.24 Nd.upf
Mg 24.30 Mg.upf
CELL_PARAMETERS angstrom
6.169 0.000 0.000
0.000 6.169 0.000
0.000 0.000 7.812
ATOMIC_POSITIONS crystal
Ac 0.000 0.000 0.000
Ac 0.500 0.500 0.500
La 0.000 0.500 0.230
La 0.000 0.500 0.770
La 0.500 0.000 0.230
La 0.500 0.000 0.770
Nd 0.000 0.000 0.500
Mg 0.500 0.500 0.000
! - ΔE_f: 72 meV per atom
! - Calculated total energy: -4.21 eV per atom
! - Total magnetic moment: 0.00 μB per cell


> Look up the total magnetic moment of the seventh one.

0.00 μB per cell